TlPtCl4 | PBE | relaxed

The calculated total energy comes out at -3.1791 eV/atom. As for the formation energy (no corrections): -3.28 eV/f.u.

The space group is Pmmm (No. 47) and the conventional cell measures 7.8422, 8.3550 and 8.7334 Å, with angles of 90.00, 90.00 and 90.00 degrees. The distinct sites, in fractional coordinates, are Tl at (0.0000, 0.0000, 0.0000), Tl at (0.0000, 0.5000, 0.5000), Pt at (0.0000, 0.0000, 0.5000), Pt at (0.5000, 0.0000, 0.0000), Cl at (0.0000, 0.1901, 0.3095) and Cl at (0.2929, 0.1934, 0.0000).

TlPt2Cl2 | PBE | relaxed

The calculated total energy comes out at -3.2753 eV/atom. As for the formation energy (no corrections): 1.76 eV/f.u. The distance to the lowest polymorph of the same formula comes out at 174 meV per atom.

The space group is I4/mmm (No. 139) and the conventional cell measures 4.4231, 4.4231 and 11.3209 Å, with angles of 90.00, 90.00 and 90.00 degrees. The distinct sites, in fractional coordinates, are Tl at (0.0000, 0.0000, 0.0000), Pt at (0.0000, 0.0000, 0.3906) and Cl at (0.0000, 0.5000, 0.2500).

TlPtCl2 | PBE | relaxed

The calculated total energy comes out at -3.2035 eV/atom. As for the formation energy (no corrections): -0.71 eV/f.u. The distance to the lowest polymorph of the same formula comes out at 140 meV per atom.

The space group is Cmmm (No. 65) and the conventional cell measures 3.4903, 6.9898 and 9.0033 Å, with angles of 90.00, 90.00 and 90.00 degrees. The distinct sites, in fractional coordinates, are Tl at (0.0000, 0.0000, 0.0000), Pt at (0.0000, 0.0000, 0.5000) and Cl at (0.0000, 0.5000, 0.3232).

Values for size of the total moment, μB/f.u., ordered as above
0.00, 2.36, 0.00